Entry 1:
DFT (GGA-PBE) results for a relaxed structure of KTmHg2.

The structure in POSCAR format:
```
KTmHg2
1.0
-1.338 0.161 -3.747
-3.855 -0.639 -0.767
-3.455 9.031 -0.494
Hg K Tm
2 1 1
direct
0.737 0.737 0.789
0.263 0.263 0.211
0.500 0.500 0.500
0.000 0.000 0.000
```

For the magnetization, the calculation gives 0.000 μB per cell. As for the energy above the most stable polymorph in this dataset: 0.106 eV/atom. As for the crystal system: trigonal.

***

Entry 2:
DFT (GGA-PBE) results for a relaxed structure of TlTc3Cl.

The structure in POSCAR format:
```
TlTc3Cl
1.0
-4.581 -1.137 2.350
-1.587 -2.556 -4.330
2.073 -4.470 1.879
Tl Cl Tc
1 1 3
direct
0.000 0.000 0.000
0.500 0.500 0.500
0.500 0.000 0.000
0.000 0.500 0.000
0.000 0.000 0.500
```

For the magnetization, the calculation gives 10.663 μB per cell. As for the energy above the most stable polymorph in this dataset: 1.305 eV/atom. As for the crystal system: cubic.

***

Entry 3:
DFT (GGA-PBE) results for a relaxed structure of CsPu2Te3.

The structure in POSCAR format:
```
CsPu2Te3
1.0
4.561 0.000 0.000
-2.280 3.950 0.000
0.000 0.000 25.099
Pu Te Cs
4 6 2
direct
0.667 0.333 0.427
0.333 0.667 0.573
0.667 0.333 0.073
0.333 0.667 0.927
0.000 0.000 0.000
0.333 0.667 0.360
0.667 0.333 0.860
0.333 0.667 0.140
0.667 0.333 0.640
0.000 0.000 0.500
0.000 0.000 0.750
0.000 0.000 0.250
```

For the magnetization, the calculation gives 22.000 μB per cell. As for the crystal system: hexagonal.

***

Entry 4:
DFT (GGA-PBE) results for a relaxed structure of RbCaAl2Tl.

The structure in POSCAR format:
```
RbCaAl2Tl
1.0
5.887 0.000 0.000
0.000 6.252 0.000
0.000 0.000 5.887
Rb Al Tl Ca
1 2 1 1
direct
0.000 0.000 0.000
0.000 0.000 0.500
0.500 0.000 0.000
0.500 0.500 0.500
0.000 0.500 0.000
```

For the magnetization, the calculation gives 0.000 μB per cell. As for the crystal system: tetragonal.

***

Entry 5:
DFT (GGA-PBE) results for a relaxed structure of CoNi2Os.

The structure in POSCAR format:
```
CoNi2Os
1.0
-0.484 1.741 -4.478
3.510 -0.919 -3.186
-3.346 -1.841 2.955
Os Co Ni
1 1 2
direct
0.750 0.250 0.500
0.250 0.750 0.500
0.494 0.494 0.000
0.006 0.006 0.000
```

For the magnetization, the calculation gives 1.115 μB per cell. As for the energy above the most stable polymorph in this dataset: 0.163 eV/atom. As for the crystal system: orthorhombic.

***

Entry 6:
DFT (GGA-PBE) results for a relaxed structure of SrCdSbRh.

The structure in POSCAR format:
```
SrCdSbRh
1.0
4.378 0.000 0.000
0.000 4.378 0.000
0.000 0.000 11.206
Cd Sb Rh Sr
2 2 2 2
direct
0.250 0.750 0.500
0.750 0.250 0.500
0.750 0.750 0.866
0.250 0.250 0.134
0.250 0.750 0.000
0.750 0.250 0.000
0.750 0.750 0.243
0.250 0.250 0.757
```

For the magnetization, the calculation gives 0.000 μB per cell. As for the crystal system: tetragonal.

***

Entry 7:
DFT (GGA-PBE) results for a relaxed structure of Pm12Cd2In5.

The structure in POSCAR format:
```
Pm12Cd2In5
1.0
7.447 0.000 0.000
-3.723 8.543 1.918
0.000 -0.723 9.297
Pm In Cd
12 5 2
direct
0.925 0.328 0.080
0.402 0.328 0.080
0.598 0.672 0.920
0.401 0.304 0.499
0.509 0.017 0.313
0.075 0.672 0.920
0.599 0.696 0.501
0.960 0.919 0.193
0.903 0.304 0.499
0.097 0.696 0.501
0.491 0.983 0.687
0.040 0.081 0.807
0.000 0.000 0.500
0.771 0.541 0.248
0.306 0.611 0.232
0.694 0.389 0.768
0.229 0.459 0.752
0.678 0.000 0.000
0.322 0.000 0.000
```

For the magnetization, the calculation gives 0.000 μB per cell. As for the crystal system: monoclinic.

***

Entry 8:
DFT (GGA-PBE) results for a relaxed structure of ZrTcSe.

The structure in POSCAR format:
```
ZrTcSe
1.0
-2.287 -0.250 2.571
3.326 -1.446 2.854
2.052 6.120 2.436
Se Tc Zr
2 2 2
direct
0.194 0.996 0.924
0.203 0.594 0.468
0.213 0.511 0.827
0.209 0.140 0.253
0.705 0.613 0.157
0.700 0.049 0.597
```

For the magnetization, the calculation gives 0.000 μB per cell. As for the energy above the most stable polymorph in this dataset: 0.102 eV/atom. As for the crystal system: triclinic.

***

Entry 9:
DFT (GGA-PBE) results for a relaxed structure of KBaTbI6.

The structure in POSCAR format:
```
KBaTbI6
1.0
8.493 0.000 0.000
-4.247 7.356 0.000
0.000 0.000 14.988
K I Tb Ba
2 12 2 2
direct
0.000 0.000 0.500
0.000 0.000 0.000
0.622 0.963 0.869
0.341 0.963 0.631
0.659 0.037 0.369
0.963 0.622 0.369
0.037 0.659 0.869
0.659 0.622 0.131
0.378 0.341 0.369
0.378 0.037 0.131
0.622 0.659 0.631
0.341 0.378 0.869
0.963 0.341 0.131
0.037 0.378 0.631
0.667 0.333 0.250
0.333 0.667 0.750
0.667 0.333 0.750
0.333 0.667 0.250
```

For the magnetization, the calculation gives 0.000 μB per cell. As for the crystal system: trigonal.

***

Entry 10:
DFT (GGA-PBE) results for a relaxed structure of CrPt3Br.

The structure in POSCAR format:
```
CrPt3Br
1.0
-1.305 -4.289 -1.504
4.068 -1.800 1.604
-2.027 -0.851 4.187
Cr Pt Br
1 3 1
direct
0.500 0.500 0.500
0.000 0.000 0.500
0.500 0.000 0.000
0.000 0.500 0.000
0.000 0.000 0.000
```

For the magnetization, the calculation gives 4.662 μB per cell. As for the energy above the most stable polymorph in this dataset: 0.123 eV/atom. As for the crystal system: cubic.

***

Entry 11:
DFT (GGA-PBE) results for a relaxed structure of MgSi3C.

The structure in POSCAR format:
```
MgSi3C
1.0
-1.600 2.759 -2.663
-1.331 -3.106 -2.418
-3.596 -0.078 2.080
Si Mg C
3 1 1
direct
0.000 0.000 0.500
0.500 0.000 0.000
0.000 0.500 0.000
0.500 0.500 0.500
0.000 0.000 0.000
```

For the magnetization, the calculation gives 0.000 μB per cell. As for the energy above the most stable polymorph in this dataset: 0.000 eV/atom. As for the crystal system: cubic.

***

Entry 12:
DFT (GGA-PBE) results for a relaxed structure of Ac2InTe5.

The structure in POSCAR format:
```
Ac2InTe5
1.0
-4.865 -0.046 4.382
7.650 -2.296 3.578
2.608 13.420 3.035
Ac Te In
4 10 2
direct
0.832 0.664 0.075
0.832 0.664 0.425
0.168 0.336 0.925
0.168 0.336 0.575
0.303 0.606 0.750
0.306 0.612 0.097
0.033 0.066 0.105
0.697 0.394 0.250
0.033 0.066 0.395
0.967 0.934 0.895
0.694 0.388 0.903
0.306 0.612 0.403
0.694 0.388 0.597
0.967 0.934 0.605
0.821 0.641 0.750
0.179 0.359 0.250
```

For the magnetization, the calculation gives 0.000 μB per cell. As for the crystal system: orthorhombic.

***

Number 1: E -6.83 eV/cell. Number 2: E -23.17 eV/cell. Number 3: E -91.26 eV/cell. Number 4: E -6.69 eV/cell. Number 5: E -28.85 eV/cell. Number 6: E -32.33 eV/cell. Number 7: E -75.60 eV/cell. Number 8: E -47.47 eV/cell. Number 9: E -61.65 eV/cell. Number 10: E -23.47 eV/cell. Number 11: E -22.96 eV/cell. Number 12: E -67.46 eV/cell.